# 1
# LiV2Br6 PBE optimized geometry
data_LiV2Br6
_chemical_formula_sum 'Li1 V2 Br6'
_space_group_name_H-M_alt 'P -3 1 m'
_space_group_IT_number 162
_space_group_name_Hall '-P 3 2'
_cell_length_a 6.5551
_cell_length_b 6.5551
_cell_length_c 6.2322
_cell_angle_alpha 90.00
_cell_angle_beta 90.00
_cell_angle_gamma 120.00
loop_
_atom_site_label
_atom_site_type_symbol
_atom_site_fract_x
_atom_site_fract_y
_atom_site_fract_z
Li1 Li 0.0000 0.0000 0.0000
V1 V 0.3333 0.6667 0.5000
Br1 Br 0.0000 0.3511 0.7360
# - Formation energy without anion corrections: -0.9826 eV per atom


# 2
# PmHo2In3 PBE optimized geometry
data_PmHo2In3
_chemical_formula_sum 'Pm1 Ho2 In3'
_space_group_name_H-M_alt 'P 4/m m m'
_space_group_IT_number 123
_space_group_name_Hall '-P 4 2'
_cell_length_a 3.755
_cell_length_b 3.755
_cell_length_c 11.488
_cell_angle_alpha 90.00
_cell_angle_beta 90.00
_cell_angle_gamma 90.00
loop_
_atom_site_label
_atom_site_type_symbol
_atom_site_fract_x
_atom_site_fract_y
_atom_site_fract_z
Pm1 Pm 0.000 0.000 0.000
Ho1 Ho 0.000 0.000 0.338
In1 In 0.500 0.500 0.176
In2 In 0.500 0.500 0.500
# - Formation enthalpy at 0 K: -0.470 eV/atom


# 3
# Pm2NdCu2 PBE optimized geometry
data_Pm2NdCu2
_chemical_formula_sum 'Pm4 Nd2 Cu4'
_space_group_name_H-M_alt 'P 1 21/m 1'
_space_group_IT_number 11
_space_group_name_Hall '-P 2yb'
_cell_length_a 3.623
_cell_length_b 5.213
_cell_length_c 13.456
_cell_angle_alpha 90.00
_cell_angle_beta 97.68
_cell_angle_gamma 90.00
loop_
_atom_site_label
_atom_site_type_symbol
_atom_site_fract_x
_atom_site_fract_y
_atom_site_fract_z
Pm1 Pm 0.047 0.250 0.094
Pm2 Pm 0.230 0.250 0.460
Nd1 Nd 0.141 0.750 0.281
Cu1 Cu 0.359 0.750 0.721
Cu2 Cu 0.456 0.250 0.910
# - Formation enthalpy at 0 K: -0.092 eV/atom


# 4
# Pa3V PBE optimized geometry
data_Pa3V
_chemical_formula_sum 'Pa3 V1'
_space_group_name_H-M_alt 'P m m 2'
_space_group_IT_number 25
_space_group_name_Hall 'P 2 -2'
_cell_length_a 2.969
_cell_length_b 3.114
_cell_length_c 9.527
_cell_angle_alpha 90.00
_cell_angle_beta 90.00
_cell_angle_gamma 90.00
loop_
_atom_site_label
_atom_site_type_symbol
_atom_site_fract_x
_atom_site_fract_y
_atom_site_fract_z
Pa1 Pa 0.000 0.000 0.000
Pa2 Pa 0.000 0.500 0.280
Pa3 Pa 0.500 0.500 0.733
V1 V 0.500 0.000 0.497
# - Formation enthalpy at 0 K: 0.348 eV/atom


# 5
# Rb2NClF6 PBE optimized geometry
data_Rb2NClF6
_chemical_formula_sum 'Rb4 N2 Cl2 F12'
_space_group_name_H-M_alt 'I 4/m m m'
_space_group_IT_number 139
_space_group_name_Hall '-I 4 2'
_cell_length_a 6.269
_cell_length_b 6.269
_cell_length_c 9.037
_cell_angle_alpha 90.00
_cell_angle_beta 90.00
_cell_angle_gamma 90.00
loop_
_atom_site_label
_atom_site_type_symbol
_atom_site_fract_x
_atom_site_fract_y
_atom_site_fract_z
Rb1 Rb 0.000 0.500 0.250
N1 N 0.000 0.000 0.000
Cl1 Cl 0.000 0.000 0.500
F1 F 0.000 0.000 0.295
F2 F 0.191 0.191 0.000
# - Formation energy without anion corrections: -1.1114 eV per atom


# 6
# K2CuRh PBE optimized geometry
data_K2CuRh
_chemical_formula_sum 'K6 Cu3 Rh3'
_space_group_name_H-M_alt 'R -3 m'
_space_group_IT_number 166
_space_group_name_Hall '-R 3 2"'
_cell_length_a 3.1389
_cell_length_b 3.1389
_cell_length_c 31.8480
_cell_angle_alpha 90.00
_cell_angle_beta 90.00
_cell_angle_gamma 120.00
loop_
_atom_site_label
_atom_site_type_symbol
_atom_site_fract_x
_atom_site_fract_y
_atom_site_fract_z
K1 K 0.0000 0.0000 0.2477
Cu1 Cu 0.0000 0.0000 0.0000
Rh1 Rh 0.0000 0.0000 0.5000
# - Formation enthalpy at 0 K: 0.818 eV/atom


# 7
# HgPd2Se PBE optimized geometry
data_HgPd2Se
_chemical_formula_sum 'Hg4 Pd8 Se4'
_space_group_name_H-M_alt 'I -4 2 d'
_space_group_IT_number 122
_space_group_name_Hall 'I -4 2bw'
_cell_length_a 4.643
_cell_length_b 4.643
_cell_length_c 16.220
_cell_angle_alpha 90.00
_cell_angle_beta 90.00
_cell_angle_gamma 90.00
loop_
_atom_site_label
_atom_site_type_symbol
_atom_site_fract_x
_atom_site_fract_y
_atom_site_fract_z
Hg1 Hg 0.000 0.000 0.000
Pd1 Pd 0.168 0.250 0.625
Se1 Se 0.000 0.000 0.500
# - Formation energy without anion corrections: -0.0281 eV per atom


# 8
# LiLuO3 PBE optimized geometry
data_LiLuO3
_chemical_formula_sum 'Li1 Lu1 O3'
_space_group_name_H-M_alt 'P m -3 m'
_space_group_IT_number 221
_space_group_name_Hall '-P 4 2 3'
_cell_length_a 3.623
_cell_length_b 3.623
_cell_length_c 3.623
_cell_angle_alpha 90.00
_cell_angle_beta 90.00
_cell_angle_gamma 90.00
loop_
_atom_site_label
_atom_site_type_symbol
_atom_site_fract_x
_atom_site_fract_y
_atom_site_fract_z
Li1 Li 0.000 0.000 0.000
Lu1 Lu 0.500 0.500 0.500
O1 O 0.000 0.000 0.500
# - Formation energy without anion corrections: -1.7726 eV per atom


# 9
# Be2HgPb PBE optimized geometry
data_Be2HgPb
_chemical_formula_sum 'Be4 Hg2 Pb2'
_space_group_name_H-M_alt 'C 1 2/m 1'
_space_group_IT_number 12
_space_group_name_Hall '-C 2y'
_cell_length_a 6.307
_cell_length_b 8.274
_cell_length_c 3.528
_cell_angle_alpha 90.00
_cell_angle_beta 121.39
_cell_angle_gamma 90.00
loop_
_atom_site_label
_atom_site_type_symbol
_atom_site_fract_x
_atom_site_fract_y
_atom_site_fract_z
Be1 Be 0.250 0.250 0.000
Hg1 Hg 0.000 0.000 0.000
Pb1 Pb 0.000 0.500 0.000
# - Formation enthalpy at 0 K: 0.743 eV/atom


# 10
# CeSm2Pb PBE optimized geometry
data_CeSm2Pb
_chemical_formula_sum 'Ce3 Sm6 Pb3'
_space_group_name_H-M_alt 'R -3 m'
_space_group_IT_number 166
_space_group_name_Hall '-R 3 2"'
_cell_length_a 3.5463
_cell_length_b 3.5463
_cell_length_c 36.4606
_cell_angle_alpha 90.00
_cell_angle_beta 90.00
_cell_angle_gamma 120.00
loop_
_atom_site_label
_atom_site_type_symbol
_atom_site_fract_x
_atom_site_fract_y
_atom_site_fract_z
Ce1 Ce 0.0000 0.0000 0.0000
Sm1 Sm 0.0000 0.0000 0.4111
Pb1 Pb 0.0000 0.0000 0.5000
# - Formation enthalpy at 0 K: 0.076 eV/atom


# 11
# Cu2BiTe2 PBE optimized geometry
data_Cu2BiTe2
_chemical_formula_sum 'Cu4 Bi2 Te4'
_space_group_name_H-M_alt 'I 4/m m m'
_space_group_IT_number 139
_space_group_name_Hall '-I 4 2'
_cell_length_a 4.539
_cell_length_b 4.539
_cell_length_c 11.328
_cell_angle_alpha 90.00
_cell_angle_beta 90.00
_cell_angle_gamma 90.00
loop_
_atom_site_label
_atom_site_type_symbol
_atom_site_fract_x
_atom_site_fract_y
_atom_site_fract_z
Cu1 Cu 0.000 0.000 0.107
Bi1 Bi 0.000 0.000 0.500
Te1 Te 0.000 0.500 0.250
# - Formation energy without anion corrections: 0.3343 eV per atom


# 12
# Pd4PtSe8 PBE optimized geometry
data_Pd4PtSe8
_chemical_formula_sum 'Pd12 Pt3 Se24'
_space_group_name_H-M_alt 'R -3 m'
_space_group_IT_number 166
_space_group_name_Hall '-R 3 2"'
_cell_length_a 7.4789
_cell_length_b 7.4789
_cell_length_c 18.3430
_cell_angle_alpha 90.00
_cell_angle_beta 90.00
_cell_angle_gamma 120.00
loop_
_atom_site_label
_atom_site_type_symbol
_atom_site_fract_x
_atom_site_fract_y
_atom_site_fract_z
Pd1 Pd 0.0000 0.0000 0.0000
Pd2 Pd 0.0000 0.5000 0.0000
Pt1 Pt 0.0000 0.0000 0.5000
Se1 Se 0.0000 0.0000 0.2603
Se2 Se 0.0214 0.5107 0.2568
# - Formation energy without anion corrections: -0.2309 eV per atom


# 13
# ErFe2B3 PBE optimized geometry
data_ErFe2B3
_chemical_formula_sum 'Er4 Fe8 B12'
_space_group_name_H-M_alt 'C m c m'
_space_group_IT_number 63
_space_group_name_Hall '-C 2c 2'
_cell_length_a 8.222
_cell_length_b 5.868
_cell_length_c 5.028
_cell_angle_alpha 90.00
_cell_angle_beta 90.00
_cell_angle_gamma 90.00
loop_
_atom_site_label
_atom_site_type_symbol
_atom_site_fract_x
_atom_site_fract_y
_atom_site_fract_z
Er1 Er 0.000 0.170 0.250
Fe1 Fe 0.194 0.500 0.000
B1 B 0.000 0.370 0.750
B2 B 0.177 0.208 0.750
# - Formation enthalpy at 0 K: -0.475 eV/atom


# 14
# Cs2ZrSe3 PBE optimized geometry
data_Cs2ZrSe3
_chemical_formula_sum 'Cs8 Zr4 Se12'
_space_group_name_H-M_alt 'C 1 2/m 1'
_space_group_IT_number 12
_space_group_name_Hall '-C 2y'
_cell_length_a 7.536
_cell_length_b 13.055
_cell_length_c 8.589
_cell_angle_alpha 90.00
_cell_angle_beta 90.09
_cell_angle_gamma 90.00
loop_
_atom_site_label
_atom_site_type_symbol
_atom_site_fract_x
_atom_site_fract_y
_atom_site_fract_z
Cs1 Cs 0.000 0.000 0.000
Cs2 Cs 0.000 0.000 0.500
Cs3 Cs 0.000 0.333 0.000
Zr1 Zr 0.000 0.333 0.500
Se1 Se 0.079 0.500 0.686
Se2 Se 0.211 0.211 0.686
# - Formation energy without anion corrections: -1.2659 eV per atom


# 15
# HfCrCuS4 PBE optimized geometry
data_HfCrCuS4
_chemical_formula_sum 'Hf4 Cr4 Cu4 S16'
_space_group_name_H-M_alt 'P 1'
_space_group_IT_number 1
_space_group_name_Hall 'P 1'
_cell_length_a 6.305
_cell_length_b 7.261
_cell_length_c 13.114
_cell_angle_alpha 97.00
_cell_angle_beta 103.43
_cell_angle_gamma 90.15
loop_
_atom_site_label
_atom_site_type_symbol
_atom_site_fract_x
_atom_site_fract_y
_atom_site_fract_z
Hf1 Hf 0.000 0.000 0.000
Hf2 Hf 0.092 0.427 0.517
Hf3 Hf 0.468 0.632 0.272
Hf4 Hf 0.601 0.161 0.523
Cr1 Cr 0.478 0.747 0.988
Cr2 Cr 0.481 0.288 0.983
Cr3 Cr 0.567 0.676 0.519
Cr4 Cr 0.967 0.866 0.293
Cu1 Cu 0.036 0.568 0.997
Cu2 Cu 0.104 0.946 0.611
Cu3 Cu 0.500 0.114 0.262
Cu4 Cu 0.898 0.322 0.129
S1 S 0.076 0.609 0.179
S2 S 0.105 0.081 0.192
S3 S 0.281 0.499 0.898
S4 S 0.304 0.205 0.622
S5 S 0.306 0.003 0.917
S6 S 0.309 0.693 0.623
S7 S 0.354 0.886 0.398
S8 S 0.368 0.410 0.401
S9 S 0.555 0.341 0.159
S10 S 0.615 0.847 0.169
S11 S 0.767 0.742 0.908
S12 S 0.767 0.929 0.633
S13 S 0.796 0.456 0.617
S14 S 0.816 0.275 0.940
S15 S 0.838 0.645 0.394
S16 S 0.842 0.141 0.389
# - Formation energy without anion corrections: -0.8332 eV per atom


# 16
# Ba2Li3DyBi4 PBE optimized geometry
data_Ba2Li3DyBi4
_chemical_formula_sum 'Ba2 Li3 Dy1 Bi4'
_space_group_name_H-M_alt 'P -4 m 2'
_space_group_IT_number 115
_space_group_name_Hall 'P -4 -2'
_cell_length_a 5.061
_cell_length_b 5.061
_cell_length_c 12.205
_cell_angle_alpha 90.00
_cell_angle_beta 90.00
_cell_angle_gamma 90.00
loop_
_atom_site_label
_atom_site_type_symbol
_atom_site_fract_x
_atom_site_fract_y
_atom_site_fract_z
Ba1 Ba 0.000 0.500 0.223
Li1 Li 0.000 0.500 0.882
Li2 Li 0.500 0.500 0.500
Dy1 Dy 0.000 0.000 0.500
Bi1 Bi 0.000 0.000 0.000
Bi2 Bi 0.000 0.500 0.645
Bi3 Bi 0.500 0.500 0.000
# - Formation enthalpy at 0 K: -0.717 eV/atom


# 17
# Hf3FeBi PBE optimized geometry
data_Hf3FeBi
_chemical_formula_sum 'Hf6 Fe2 Bi2'
_space_group_name_H-M_alt 'P 1'
_space_group_IT_number 1
_space_group_name_Hall 'P 1'
_cell_length_a 5.258
_cell_length_b 6.125
_cell_length_c 6.754
_cell_angle_alpha 88.34
_cell_angle_beta 79.73
_cell_angle_gamma 79.76
loop_
_atom_site_label
_atom_site_type_symbol
_atom_site_fract_x
_atom_site_fract_y
_atom_site_fract_z
Hf1 Hf 0.000 0.000 0.000
Hf2 Hf 0.014 0.667 0.393
Hf3 Hf 0.036 0.165 0.556
Hf4 Hf 0.462 0.752 0.689
Hf5 Hf 0.583 0.370 0.323
Hf6 Hf 0.913 0.531 0.904
Fe1 Fe 0.079 0.310 0.206
Fe2 Fe 0.322 0.616 0.037
Bi1 Bi 0.484 0.243 0.803
Bi2 Bi 0.496 0.898 0.243
# - Formation enthalpy at 0 K: 0.002 eV/atom


# 18
# Pr3ErZn8 PBE optimized geometry
data_Pr3ErZn8
_chemical_formula_sum 'Pr9 Er3 Zn24'
_space_group_name_H-M_alt 'R 3 m'
_space_group_IT_number 160
_space_group_name_Hall 'R 3 -2"'
_cell_length_a 5.5755
_cell_length_b 5.5755
_cell_length_c 27.1839
_cell_angle_alpha 90.00
_cell_angle_beta 90.00
_cell_angle_gamma 120.00
loop_
_atom_site_label
_atom_site_type_symbol
_atom_site_fract_x
_atom_site_fract_y
_atom_site_fract_z
Pr1 Pr 0.0000 0.0000 0.0000
Pr2 Pr 0.0000 0.0000 0.1250
Pr3 Pr 0.0000 0.0000 0.4989
Er1 Er 0.0000 0.0000 0.6236
Zn1 Zn 0.0000 0.0000 0.3120
Zn2 Zn 0.0000 0.0000 0.8116
Zn3 Zn 0.0019 0.5009 0.5633
Zn4 Zn 0.1681 0.3362 0.3938
# - Formation enthalpy at 0 K: -0.312 eV/atom


# 19
# NaZrHg2 PBE optimized geometry
data_NaZrHg2
_chemical_formula_sum 'Na1 Zr1 Hg2'
_space_group_name_H-M_alt 'P 4/m m m'
_space_group_IT_number 123
_space_group_name_Hall '-P 4 2'
_cell_length_a 3.373
_cell_length_b 3.373
_cell_length_c 8.094
_cell_angle_alpha 90.00
_cell_angle_beta 90.00
_cell_angle_gamma 90.00
loop_
_atom_site_label
_atom_site_type_symbol
_atom_site_fract_x
_atom_site_fract_y
_atom_site_fract_z
Na1 Na 0.000 0.000 0.000
Zr1 Zr 0.000 0.000 0.500
Hg1 Hg 0.500 0.500 0.264
# - Formation enthalpy at 0 K: -0.126 eV/atom


# 20
# Na2YFe PBE optimized geometry
data_Na2YFe
_chemical_formula_sum 'Na8 Y4 Fe4'
_space_group_name_H-M_alt 'I -4 2 d'
_space_group_IT_number 122
_space_group_name_Hall 'I -4 2bw'
_cell_length_a 3.943
_cell_length_b 3.943
_cell_length_c 24.121
_cell_angle_alpha 90.00
_cell_angle_beta 90.00
_cell_angle_gamma 90.00
loop_
_atom_site_label
_atom_site_type_symbol
_atom_site_fract_x
_atom_site_fract_y
_atom_site_fract_z
Na1 Na 0.228 0.750 0.125
Y1 Y 0.000 0.000 0.500
Fe1 Fe 0.000 0.000 0.000
# - Formation enthalpy at 0 K: 0.589 eV/atom


# 21
# FeCoAu4 PBE optimized geometry
data_FeCoAu4
_chemical_formula_sum 'Fe4 Co4 Au16'
_space_group_name_H-M_alt 'F -4 3 m'
_space_group_IT_number 216
_space_group_name_Hall 'F -4 2 3'
_cell_length_a 7.614
_cell_length_b 7.614
_cell_length_c 7.614
_cell_angle_alpha 90.00
_cell_angle_beta 90.00
_cell_angle_gamma 90.00
loop_
_atom_site_label
_atom_site_type_symbol
_atom_site_fract_x
_atom_site_fract_y
_atom_site_fract_z
Fe1 Fe 0.000 0.000 0.000
Co1 Co 0.250 0.250 0.250
Au1 Au 0.125 0.125 0.625
# - Formation enthalpy at 0 K: 0.587 eV/atom


# 22
# PaIn2Cu PBE optimized geometry
data_PaIn2Cu
_chemical_formula_sum 'Pa1 In2 Cu1'
_space_group_name_H-M_alt 'P 4/m m m'
_space_group_IT_number 123
_space_group_name_Hall '-P 4 2'
_cell_length_a 4.434
_cell_length_b 4.434
_cell_length_c 4.614
_cell_angle_alpha 90.00
_cell_angle_beta 90.00
_cell_angle_gamma 90.00
loop_
_atom_site_label
_atom_site_type_symbol
_atom_site_fract_x
_atom_site_fract_y
_atom_site_fract_z
Pa1 Pa 0.000 0.000 0.000
In1 In 0.000 0.500 0.500
Cu1 Cu 0.500 0.500 0.000
# - Formation enthalpy at 0 K: 0.099 eV/atom


# 23
# AlZn PBE optimized geometry
data_AlZn
_chemical_formula_sum 'Al16 Zn16'
_space_group_name_H-M_alt 'F d d d'
_space_group_IT_number 70
_cell_length_a 3.738
_cell_length_b 9.668
_cell_length_c 15.155
_cell_angle_alpha 90.00
_cell_angle_beta 90.00
_cell_angle_gamma 90.00
loop_
_space_group_symop_operation_xyz
'x,y,z'
'-x,-y,-z'
'-x+1/4,-y+1/4,z'
'x+1/4,y+1/4,-z'
'x,-y+1/4,-z+1/4'
'-x,y+1/4,z+1/4'
'-x+1/4,y,-z+1/4'
'x+1/4,-y,z+1/4'
'x,y+1/2,z+1/2'
'-x,-y+1/2,-z+1/2'
'-x+1/4,-y+3/4,z+1/2'
'x+1/4,y+3/4,-z+1/2'
'x,-y+3/4,-z+3/4'
'-x,y+3/4,z+3/4'
'-x+1/4,y+1/2,-z+3/4'
'x+1/4,-y+1/2,z+3/4'
'x+1/2,y,z+1/2'
'-x+1/2,-y,-z+1/2'
'-x+3/4,-y+1/4,z+1/2'
'x+3/4,y+1/4,-z+1/2'
'x+1/2,-y+1/4,-z+3/4'
'-x+1/2,y+1/4,z+3/4'
'-x+3/4,y,-z+3/4'
'x+3/4,-y,z+3/4'
'x+1/2,y+1/2,z'
'-x+1/2,-y+1/2,-z'
'-x+3/4,-y+3/4,z'
'x+3/4,y+3/4,-z'
'x+1/2,-y+3/4,-z+1/4'
'-x+1/2,y+3/4,z+1/4'
'-x+3/4,y+1/2,-z+1/4'
'x+3/4,-y+1/2,z+1/4'
loop_
_atom_site_label
_atom_site_type_symbol
_atom_site_fract_x
_atom_site_fract_y
_atom_site_fract_z
Al1 Al 0.125 0.125 0.028
Zn1 Zn 0.125 0.269 0.625
# - Formation enthalpy at 0 K: 0.132 eV/atom